Record 1
Density functional theory data (GGA-PBE) for an optimized crystal structure of Sm4ThS6.

Structure (POSCAR):
```
Sm4ThS6
1.0
3.940 0.000 0.000
-1.970 6.596 0.000
0.000 0.000 20.018
Sm S Th
8 12 2
Direct
0.588 0.175 0.874 Sm
0.861 0.723 0.539 Sm
0.412 0.825 0.126 Sm
0.139 0.277 0.461 Sm
0.412 0.825 0.374 Sm
0.861 0.723 0.961 Sm
0.588 0.175 0.626 Sm
0.139 0.277 0.039 Sm
0.053 0.105 0.169 S
0.308 0.616 0.250 S
0.692 0.384 0.750 S
0.768 0.536 0.407 S
0.768 0.536 0.093 S
0.053 0.105 0.331 S
0.947 0.895 0.831 S
0.232 0.464 0.593 S
0.500 0.000 0.000 S
0.500 0.000 0.500 S
0.232 0.464 0.907 S
0.947 0.895 0.669 S
0.344 0.689 0.750 Th
0.656 0.311 0.250 Th
```

Summary:
* total energy: -6.641 eV per atom
* N(E_F): 3.601 states/eV/f.u.
* formation energy without anion corrections: -2.00 eV per atom

=====

Record 2
Density functional theory data (GGA-PBE) for an optimized crystal structure of SnRu2S.

Structure (POSCAR):
```
SnRu2S
1.0
-3.795 -4.149 -1.110
1.687 -2.803 4.706
-4.594 -0.975 4.556
Ru Sn S
4 2 2
Direct
0.188 0.625 0.250 Ru
0.875 0.812 0.750 Ru
0.375 0.438 0.750 Ru
0.562 0.125 0.250 Ru
0.000 0.000 0.000 Sn
0.750 0.250 0.500 Sn
0.500 0.500 0.000 S
0.250 0.750 0.500 S
```

Summary:
* total energy: -6.448 eV per atom
* N(E_F): 3.345 states/eV/f.u.
* relative energy among the computed polymorphs: 0.00 eV per formula unit
* formation energy without anion corrections: 0.22 eV per atom

=====

Record 3
Density functional theory data (GGA-PBE) for an optimized crystal structure of InOs2Br.

Structure (POSCAR):
```
InOs2Br
1.0
0.000 3.243 3.243
3.243 0.000 3.243
3.243 3.243 0.000
Os Br In
2 1 1
Direct
0.750 0.750 0.750 Os
0.250 0.250 0.250 Os
0.000 0.000 0.000 Br
0.500 0.500 0.500 In
```

Summary:
* total energy: -5.352 eV per atom
* N(E_F): 3.794 states/eV/f.u.
* relative energy among the computed polymorphs: 3.59 eV per formula unit
* formation energy without anion corrections: 1.37 eV per atom

=====

Record 4
Density functional theory data (GGA-PBE) for an optimized crystal structure of Tb3In.

Structure (POSCAR):
```
Tb3In
1.0
5.490 0.000 0.000
0.000 6.953 0.000
0.000 -3.479 6.022
Tb In
6 2
Direct
0.750 0.827 0.654 Tb
0.750 0.827 0.173 Tb
0.250 0.654 0.827 Tb
0.250 0.173 0.827 Tb
0.250 0.173 0.346 Tb
0.750 0.346 0.173 Tb
0.250 0.667 0.333 In
0.750 0.333 0.667 In
```

Summary:
* total energy: -4.416 eV per atom
* N(E_F): 5.288 states/eV/f.u.
* calculated formation energy: -0.2582 eV per atom

=====

Record 5
Density functional theory data (GGA-PBE) for an optimized crystal structure of Tb2ErSc.

Structure (POSCAR):
```
Tb2ErSc
1.0
-3.535 0.151 -4.248
-4.534 -3.162 0.064
-4.979 2.319 0.629
Tb Er Sc
2 1 1
Direct
0.250 0.250 0.250 Tb
0.750 0.750 0.750 Tb
0.000 0.000 0.000 Er
0.500 0.500 0.500 Sc
```

Summary:
* total energy: -4.920 eV per atom
* N(E_F): 7.004 states/eV/f.u.
* calculated formation energy: 0.1190 eV per atom
* relative energy among the computed polymorphs: 0.34 eV per formula unit

=====

Record 6
Density functional theory data (GGA-PBE) for an optimized crystal structure of SrOs.

Structure (POSCAR):
```
SrOs
1.0
3.222 -3.288 -4.063
5.698 -1.842 -1.355
-1.312 -5.884 4.342
Os Sr
3 3
Direct
0.028 0.028 0.778 Os
0.464 0.464 0.945 Os
0.592 0.592 0.610 Os
0.741 0.741 0.981 Sr
0.315 0.315 0.574 Sr
0.028 0.028 0.278 Sr
```

Summary:
* total energy: -6.005 eV per atom
* N(E_F): 1.605 states/eV/f.u.
* calculated formation energy: 0.4510 eV per atom

=====

Record 7
Density functional theory data (GGA-PBE) for an optimized crystal structure of LiMg17Al11.

Structure (POSCAR):
```
LiMg17Al11
1.0
-6.604 5.213 3.497
-1.755 -1.595 -8.798
-8.022 -4.291 -0.788
Mg Al Li
17 11 1
Direct
0.602 0.000 0.684 Mg
0.713 0.397 0.602 Mg
0.656 0.656 0.346 Mg
0.315 0.602 0.001 Mg
0.001 0.001 0.999 Mg
0.400 0.400 0.282 Mg
0.602 0.315 0.001 Mg
0.682 0.682 0.716 Mg
0.686 0.285 0.315 Mg
0.002 0.345 0.998 Mg
0.285 0.686 0.315 Mg
0.317 0.001 0.400 Mg
0.001 0.317 0.400 Mg
0.345 0.002 0.998 Mg
0.000 0.602 0.684 Mg
0.397 0.713 0.602 Mg
0.997 0.997 0.655 Mg
0.633 0.813 0.003 Al
0.635 0.999 0.187 Al
0.002 0.817 0.367 Al
0.188 0.188 0.177 Al
0.182 0.818 0.815 Al
0.817 0.002 0.367 Al
0.180 0.365 0.632 Al
0.818 0.182 0.815 Al
0.999 0.635 0.187 Al
0.813 0.633 0.003 Al
0.365 0.180 0.632 Al
0.366 0.366 0.816 Li
```

Summary:
* total energy: -2.450 eV per atom
* N(E_F): 11.547 states/eV/f.u.
* calculated formation energy: -0.0296 eV per atom

=====

Record 8
Density functional theory data (GGA-PBE) for an optimized crystal structure of SrLa2CuN.

Structure (POSCAR):
```
SrLa2CuN
1.0
5.004 0.000 0.000
0.000 5.004 0.000
0.000 0.000 5.313
N Sr La Cu
1 1 2 1
Direct
0.000 0.000 0.000 N
0.000 0.000 0.500 Sr
0.500 0.000 0.000 La
0.000 0.500 0.000 La
0.500 0.500 0.500 Cu
```

Summary:
* total energy: -5.183 eV per atom
* N(E_F): 5.486 states/eV/f.u.
* relative energy among the computed polymorphs: 0.00 eV per formula unit
* formation energy without anion corrections: -0.39 eV per atom

=====

Record 9
Density functional theory data (GGA-PBE) for an optimized crystal structure of Li3Au.

Structure (POSCAR):
```
Li3Au
1.0
-1.537 -4.105 -1.303
2.899 0.111 -3.771
4.154 -2.545 3.118
Li Au
6 2
Direct
0.500 0.185 0.253 Li
0.500 0.185 0.747 Li
0.000 0.344 0.500 Li
0.500 0.656 0.000 Li
0.000 0.815 0.247 Li
0.000 0.815 0.753 Li
0.000 0.305 0.000 Au
0.500 0.695 0.500 Au
```

Summary:
* total energy: -2.664 eV per atom
* N(E_F): 0.574 states/eV/f.u.
* calculated formation energy: -0.4094 eV per atom

=====

Record 10
Density functional theory data (GGA-PBE) for an optimized crystal structure of HfV2AsIr.

Structure (POSCAR):
```
HfV2AsIr
1.0
-2.412 3.325 -1.576
-3.744 -3.057 -0.719
-1.475 0.852 4.056
V Ir Hf As
2 1 1 1
Direct
0.000 0.000 0.500 V
0.500 0.000 0.000 V
0.500 0.500 0.500 Ir
0.000 0.500 0.000 Hf
0.000 0.000 0.000 As
```

Summary:
* total energy: -7.748 eV per atom
* N(E_F): 4.326 states/eV/f.u.
* calculated formation energy: 0.5920 eV per atom

=====

Record 11
Density functional theory data (GGA-PBE) for an optimized crystal structure of BaTlCr2Cd.

Structure (POSCAR):
```
BaTlCr2Cd
1.0
5.344 0.000 0.000
0.000 6.270 0.000
0.000 0.000 5.344
Cr Cd Ba Tl
2 1 1 1
Direct
0.500 0.000 0.000 Cr
0.000 0.000 0.500 Cr
0.000 0.000 0.000 Cd
0.000 0.500 0.000 Ba
0.500 0.500 0.500 Tl
```

Summary:
* total energy: -3.980 eV per atom
* N(E_F): 5.532 states/eV/f.u.
* calculated formation energy: 0.9105 eV per atom

=====

Record 12
Density functional theory data (GGA-PBE) for an optimized crystal structure of TbCe2PmBi5.

Structure (POSCAR):
```
TbCe2PmBi5
1.0
5.465 0.000 0.000
0.000 5.465 0.000
0.000 0.000 11.997
Tb Ce Bi Pm
1 2 5 1
Direct
0.000 0.000 0.500 Tb
0.500 0.500 0.718 Ce
0.500 0.500 0.282 Ce
0.500 0.500 0.000 Bi
0.000 0.000 0.249 Bi
0.000 0.000 0.751 Bi
0.000 0.500 0.500 Bi
0.500 0.000 0.500 Bi
0.000 0.000 0.000 Pm
```

Summary:
* total energy: -4.631 eV per atom
* N(E_F): 18.530 states/eV/f.u.
* calculated formation energy: -0.1142 eV per atom

=====

Look up the N(E_F) of the first one.
3.601 states/eV/f.u.

=====

Which value of N(E_F) does entry 1 give?
3.601 states/eV/f.u.